(1)
## FeCo2Re (PBE)

Data for FeCo2Re after structural relaxation.

## Properties
Relative energy among the computed polymorphs in kJ per mole of atoms: 0.0

Cell: 3.615 3.615 7.152 Å, 90.00 90.00 90.00°
Space group I4/mmm (No. 139)
One atom of each set of equivalent atoms:
1 Fe 0.000 0.000 0.000 (multiplicity 2)
2 Co 0.000 0.500 0.250 (multiplicity 4)
3 Re 0.000 0.000 0.500 (multiplicity 2)

---

(2)
## FeCoRe2 (PBE)

Data for FeCoRe2 after structural relaxation.

## Properties
Relative energy among the computed polymorphs in kJ per mole of atoms: 2.6

Cell: 3.747 3.747 7.379 Å, 90.00 90.00 90.00°
Space group I-4m2 (No. 119)
One atom of each set of equivalent atoms:
1 Fe 0.000 0.000 0.000 (multiplicity 2)
2 Co 0.000 0.500 0.750 (multiplicity 2)
3 Re 0.000 0.000 0.500 (multiplicity 2)
4 Re 0.000 0.500 0.250 (multiplicity 2)

---

(3)
## Fe2CoRe (PBE)

Data for Fe2CoRe after structural relaxation.

## Properties
Electronic total energy in eV/f.u.: -36.29

Cell: 3.640 3.640 7.079 Å, 90.00 90.00 90.00°
Space group I-4m2 (No. 119)
One atom of each set of equivalent atoms:
1 Fe 0.000 0.000 0.000 (multiplicity 2)
2 Fe 0.000 0.500 0.250 (multiplicity 2)
3 Co 0.000 0.000 0.500 (multiplicity 2)
4 Re 0.000 0.500 0.750 (multiplicity 2)

---

(4)
## FeCo2Re (PBE)

Data for FeCo2Re after structural relaxation.

## Properties
Relative energy among the computed polymorphs in kJ per mole of atoms: 2.0

Cell: 2.589 3.593 5.084 Å, 90.00 90.00 90.00°
Space group Pmmm (No. 47)
One atom of each set of equivalent atoms:
1 Fe 0.000 0.000 0.000 (multiplicity 1)
2 Co 0.500 0.500 0.246 (multiplicity 2)
3 Re 0.000 0.000 0.500 (multiplicity 1)